Entry 1:
# P3Br

A relaxed structure of P3Br (PBE, Alexandria).

Summary:
ρ, g/cm3: 3.6
E_form (uncorrected), kJ per mole of atoms: 104
Energy above the most stable polymorph in this dataset, eV/f.u.: 3.328
Space group: No. 65

The structure in POSCAR format:
```
P3Br
1.0
4.644 0.000 0.000
2.100 4.142 0.000
0.000 0.000 4.088
Br P
1 3
direct
0.000 0.000 0.000
0.000 0.500 0.500
0.500 0.000 0.500
0.500 0.500 0.000
```

Entry 2:
# PBr3

A relaxed structure of PBr3 (PBE, Alexandria).

Summary:
ρ, g/cm3: 2.2
E_form (uncorrected), kJ per mole of atoms: -28
Space group: No. 59

The structure in POSCAR format:
```
PBr3
1.0
-0.293 0.707 -4.976
-3.639 -6.910 -0.768
-8.971 4.594 1.180
Br P
6 2
direct
0.500 0.570 0.000
0.000 0.430 0.500
0.000 0.823 0.172
0.000 0.823 0.828
0.500 0.177 0.672
0.500 0.177 0.328
0.000 0.647 0.000
0.500 0.353 0.500
```

Entry 3:
# P3Br

A relaxed structure of P3Br (PBE, Alexandria).

Summary:
ρ, g/cm3: 3.3
E_form (uncorrected), kJ per mole of atoms: 51
Energy above the most stable polymorph in this dataset, eV/f.u.: 1.134
Space group: No. 65

The structure in POSCAR format:
```
P3Br
1.0
-2.685 0.749 -2.714
3.222 -2.158 -0.309
-3.798 -5.975 2.108
Br P
1 3
direct
0.000 0.000 0.000
0.500 0.500 0.703
0.000 0.000 0.500
0.500 0.500 0.297
```

Entry 4:
# PBr3

A relaxed structure of PBr3 (PBE, Alexandria).

Summary:
ρ, g/cm3: 4.8
E_form (uncorrected), kJ per mole of atoms: 87
Space group: No. 123

The structure in POSCAR format:
```
PBr3
1.0
-0.731 -4.138 -2.945
-0.487 -2.908 4.199
-3.505 0.608 0.015
Br P
3 1
direct
0.000 0.500 0.500
0.500 0.000 0.500
0.500 0.500 0.000
0.000 0.000 0.000
```

Entry 5:
# P3Br

A relaxed structure of P3Br (PBE, Alexandria).

Summary:
ρ, g/cm3: 3.8
E_form (uncorrected), kJ per mole of atoms: 70
Energy above the most stable polymorph in this dataset, eV/f.u.: 1.928
Space group: No. 71

The structure in POSCAR format:
```
P3Br
1.0
5.525 0.023 -0.015
2.275 5.035 0.015
-3.192 -3.620 2.689
Br P
1 3
direct
0.500 0.000 0.500
0.185 0.185 0.000
0.815 0.815 0.000
0.000 0.500 0.500
```

Entry 6:
# PBr3

A relaxed structure of PBr3 (PBE, Alexandria).

Summary:
ρ, g/cm3: 3.4
E_form (uncorrected), kJ per mole of atoms: -3
Space group: No. 221

The structure in POSCAR format:
```
PBr3
1.0
-4.068 -2.928 0.990
1.559 -0.531 4.836
-2.669 4.153 1.316
Br P
3 1
direct
0.500 0.000 0.000
0.000 0.500 0.000
0.000 0.000 0.500
0.000 0.000 0.000
```

Number 1: energy -0.2497 Ry per atom. Number 2: energy -0.2131 Ry per atom. Number 3: energy -0.2900 Ry per atom. Number 4: energy -0.1255 Ry per atom. Number 5: energy -0.2754 Ry per atom. Number 6: energy -0.1942 Ry per atom.